[1]
Compound: Mo3Pt
Source: Alexandria via LeMat-Bulk
Functional: PBE
Structure: optimized geometry Values from VASP.

The formation energy is -0.1068 eV per atom. Its symmetry is Pm-3m (221). The calculation puts the calculated volume at 62.6 Å³ per cell. The value obtained for the excess energy over the best structure of this formula in the dataset is 20 meV per atom.

Quantum ESPRESSO input file:
```
&SYSTEM
  ibrav = 0, nat = 4, ntyp = 2
/
ATOMIC_SPECIES
Pt 195.08 Pt.upf
Mo 95.94 Mo.upf
CELL_PARAMETERS angstrom
3.9700 0.0000 0.0000
0.0000 3.9700 0.0000
0.0000 0.0000 3.9700
ATOMIC_POSITIONS crystal
Pt 0.5000 0.5000 0.0000
Mo 0.0000 0.5000 0.5000
Mo 0.5000 0.0000 0.5000
Mo 0.0000 0.0000 0.0000
```

=====

[2]
Compound: SrMgSi2Au2
Source: Alexandria via LeMat-Bulk
Functional: PBE
Structure: optimized geometry Values from VASP.

Its symmetry is P-3m1 (164). The energy relative to the elements, uncorrected comes out at -0.47 eV per atom. The calculation puts the calculated volume at 124.0 Å³ per cell.

Quantum ESPRESSO input file:
```
&SYSTEM
  ibrav = 0, nat = 6, ntyp = 4
/
ATOMIC_SPECIES
Si 28.09 Si.upf
Au 196.97 Au.upf
Sr 87.62 Sr.upf
Mg 24.30 Mg.upf
CELL_PARAMETERS angstrom
4.3792 0.0000 0.0000
-2.1896 3.7925 0.0000
0.0000 0.0000 7.4654
ATOMIC_POSITIONS crystal
Si 0.3333 0.6667 0.7144
Au 0.6667 0.3333 0.6859
Sr 0.0000 0.0000 0.0000
Au 0.3333 0.6667 0.3141
Si 0.6667 0.3333 0.2856
Mg 0.0000 0.0000 0.5000
```

=====

[3]
Compound: YIn2Pt
Source: Alexandria via LeMat-Bulk
Functional: PBE
Structure: optimized geometry Values from VASP.

The formation energy is -0.4588 eV per atom. Its symmetry is Fm-3m (225). The calculation puts the calculated volume at 85.9 Å³ per cell.

Quantum ESPRESSO input file:
```
&SYSTEM
  ibrav = 0, nat = 4, ntyp = 3
/
ATOMIC_SPECIES
In 114.82 In.upf
Pt 195.08 Pt.upf
Y 88.91 Y.upf
CELL_PARAMETERS angstrom
-1.2813 -4.6296 1.2076
-4.0703 -2.0336 -1.9572
0.4083 -3.6340 -3.3408
ATOMIC_POSITIONS crystal
In 0.2500 0.2500 0.2500
Pt 0.5000 0.5000 0.5000
Y 0.0000 0.0000 0.0000
In 0.7500 0.7500 0.7500
```

=====

[4]
Compound: Tb3Ge3Ru2
Source: Alexandria via LeMat-Bulk
Functional: PBE
Structure: optimized geometry Values from VASP.

The formation energy is -0.7718 eV per atom. Its symmetry is Cmcm (63). The calculation puts the calculated volume at 327.3 Å³ per cell. The value obtained for the excess energy over the best structure of this formula in the dataset is 0 meV per atom.

Quantum ESPRESSO input file:
```
&SYSTEM
  ibrav = 0, nat = 16, ntyp = 3
/
ATOMIC_SPECIES
Ge 72.64 Ge.upf
Tb 158.93 Tb.upf
Ru 101.07 Ru.upf
CELL_PARAMETERS angstrom
-3.2012 -1.5399 -4.6630
4.4380 -2.2453 3.1025
-9.1588 -6.4650 8.4224
ATOMIC_POSITIONS crystal
Ge 0.6170 0.3830 0.0406
Tb 0.3542 0.6458 0.7500
Ge 0.3830 0.6170 0.5406
Ru 0.2140 0.7860 0.4178
Tb 0.9215 0.0785 0.1131
Ru 0.7860 0.2140 0.9178
Ru 0.2140 0.7860 0.0822
Ge 0.3341 0.6659 0.2500
Ru 0.7860 0.2140 0.5822
Tb 0.6458 0.3542 0.2500
Ge 0.3830 0.6170 0.9594
Tb 0.9215 0.0785 0.3869
Ge 0.6170 0.3830 0.4594
Tb 0.0785 0.9215 0.6131
Ge 0.6659 0.3341 0.7500
Tb 0.0785 0.9215 0.8869
```

=====

[5]
Compound: PaBr5
Source: Alexandria via LeMat-Bulk
Functional: PBE
Structure: optimized geometry Values from VASP.

Its symmetry is Pmma (51). The energy relative to the elements, uncorrected comes out at -1.19 eV per atom. The calculation puts the calculated volume at 398.8 Å³ per cell. The value obtained for the excess energy over the best structure of this formula in the dataset is 224 meV per atom.

Quantum ESPRESSO input file:
```
&SYSTEM
  ibrav = 0, nat = 12, ntyp = 2
/
ATOMIC_SPECIES
Br 79.90 Br.upf
Pa 231.04 Pa.upf
CELL_PARAMETERS angstrom
4.3756 0.0000 0.0000
0.0000 8.8009 0.0000
0.0000 0.0000 10.3565
ATOMIC_POSITIONS crystal
Br 0.0000 0.0000 0.5000
Br 0.5000 0.2833 0.9216
Br 0.0000 0.4934 0.7500
Pa 0.0000 0.8169 0.2500
Br 0.5000 0.0479 0.2500
Br 0.0000 0.5066 0.2500
Br 0.0000 0.0000 0.0000
Br 0.5000 0.9521 0.7500
Pa 0.0000 0.1831 0.7500
Br 0.5000 0.7167 0.0784
Br 0.5000 0.2833 0.5784
Br 0.5000 0.7167 0.4216
```

=====

[6]
Compound: La2InGa2Rh5
Source: Alexandria via LeMat-Bulk
Functional: PBE
Structure: optimized geometry Values from VASP.

The formation energy is -0.7225 eV per atom. Its symmetry is P4/mbm (127). The calculation puts the calculated volume at 369.5 Å³ per cell.

Quantum ESPRESSO input file:
```
&SYSTEM
  ibrav = 0, nat = 20, ntyp = 4
/
ATOMIC_SPECIES
Rh 102.91 Rh.upf
La 138.91 La.upf
Ga 69.72 Ga.upf
In 114.82 In.upf
CELL_PARAMETERS angstrom
3.6506 0.0000 0.0000
0.0000 10.0603 0.0000
0.0000 0.0000 10.0603
ATOMIC_POSITIONS crystal
Rh 0.5000 0.4316 0.2886
Rh 0.5000 0.0684 0.7886
Rh 0.5000 0.5000 0.0000
La 0.0000 0.3235 0.8235
Rh 0.5000 0.9316 0.2114
Rh 0.5000 0.2114 0.0684
Rh 0.5000 0.7886 0.9316
Ga 0.0000 0.8791 0.3791
Ga 0.0000 0.1209 0.6209
In 0.0000 0.5000 0.5000
Rh 0.5000 0.2886 0.5684
La 0.0000 0.6765 0.1765
Rh 0.5000 0.7114 0.4316
Ga 0.0000 0.3791 0.1209
La 0.0000 0.1765 0.3235
Rh 0.5000 0.5684 0.7114
Ga 0.0000 0.6209 0.8791
La 0.0000 0.8235 0.6765
In 0.0000 0.0000 0.0000
Rh 0.5000 0.0000 0.5000
```

=====

[7]
Compound: Tb8PrGa6
Source: Alexandria via LeMat-Bulk
Functional: PBE
Structure: optimized geometry Values from VASP.

The formation energy is -0.3572 eV per atom. Its symmetry is R-3 (148). The calculation puts the calculated volume at 407.7 Å³ per cell.

Quantum ESPRESSO input file:
```
&SYSTEM
  ibrav = 0, nat = 15, ntyp = 3
/
ATOMIC_SPECIES
Ga 69.72 Ga.upf
Tb 158.93 Tb.upf
Pr 140.91 Pr.upf
CELL_PARAMETERS angstrom
-7.1194 -5.0549 -0.1171
0.8183 -8.6867 -0.3506
-2.0298 -4.8228 6.0130
ATOMIC_POSITIONS crystal
Ga 0.3983 0.0592 0.8235
Ga 0.7190 0.3983 0.8235
Tb 0.6677 0.6677 0.9969
Pr 0.0000 0.0000 0.0000
Tb 0.1130 0.4447 0.6635
Tb 0.2212 0.8870 0.3365
Tb 0.8870 0.5553 0.3365
Tb 0.4447 0.7788 0.6635
Ga 0.2810 0.6017 0.1765
Ga 0.6017 0.9408 0.1765
Tb 0.7788 0.1130 0.6635
Ga 0.0592 0.7190 0.8235
Tb 0.5553 0.2212 0.3365
Tb 0.3323 0.3323 0.0031
Ga 0.9408 0.2810 0.1765
```

=====

[8]
Compound: Sr5Ag2Bi5
Source: Alexandria via LeMat-Bulk
Functional: PBE
Structure: optimized geometry Values from VASP.

The formation energy is -0.6925 eV per atom. Its symmetry is C2/m (12). The calculation puts the calculated volume at 409.8 Å³ per cell.

Quantum ESPRESSO input file:
```
&SYSTEM
  ibrav = 0, nat = 12, ntyp = 3
/
ATOMIC_SPECIES
Sr 87.62 Sr.upf
Bi 208.98 Bi.upf
Ag 107.87 Ag.upf
CELL_PARAMETERS angstrom
-4.0115 -2.6543 0.4925
-0.2587 -2.3962 8.7146
-7.0048 6.6731 2.6457
ATOMIC_POSITIONS crystal
Sr 0.6920 0.9339 0.6822
Bi 0.0662 0.2273 0.6403
Sr 0.5000 0.5000 0.5000
Sr 0.6055 0.7000 0.0889
Bi 0.0000 0.0000 0.0000
Sr 0.3945 0.3000 0.9111
Bi 0.7557 0.3118 0.1767
Sr 0.3080 0.0661 0.3178
Bi 0.2443 0.6882 0.8233
Ag 0.8613 0.5330 0.7444
Bi 0.9338 0.7727 0.3597
Ag 0.1387 0.4670 0.2556
```